Entry from the Alexandria database: a PBEsol-optimized structure of TlTeOs (SCAN).

```
3
Lattice="3.3014 0.0000 0.0000 0.0000 4.6625 0.0000 0.0000 -2.3312 4.0378" Properties=species:S:1:pos:R:3 pbc="T T T"
Os 0.0000 0.0000 0.0000
Te 0.0000 2.3312 1.3459
Tl 1.6507 0.0000 2.6919
```

Total energy: -178.7 eV for the cell shown
Formation energy (no corrections): 938 meV per atom
Polymorph energy (0 for the lowest one): 290 meV/atom

---

Entry from the Alexandria database: a PBEsol-optimized structure of TlTeOs2 (SCAN).

```
4
Lattice="-3.6171 -1.4137 1.6141 1.8523 -3.6542 0.9503 1.9280 4.0094 2.3531" Properties=species:S:1:pos:R:3 pbc="T T T"
Os 0.0000 0.0000 0.0000
Os -1.2857 0.0308 2.6247
Te -0.8824 -2.5340 1.2822
Tl 1.4490 -1.0894 2.2928
```

Total energy: -248.0 eV for the cell shown
Formation energy (no corrections): 1344 meV per atom
Polymorph energy (0 for the lowest one): 669 meV/atom

---

Entry from the Alexandria database: a PBEsol-optimized structure of TlTeOs2 (SCAN).

```
4
Lattice="-0.6852 1.1649 -2.7019 4.2163 -3.3031 -0.8676 -4.3813 -2.8151 1.5231" Properties=species:S:1:pos:R:3 pbc="T T T"
Os 2.1081 -1.6516 -0.4338
Os -2.1906 -1.4075 0.7616
Te 0.0000 0.0000 0.0000
Tl -0.0825 -3.0591 0.3278
```

Total energy: -247.9 eV for the cell shown
Formation energy (no corrections): 1356 meV per atom
Polymorph energy (0 for the lowest one): 682 meV/atom